Material: SrAlGeH
Method: DFT, PBEsol
State: optimized geometry

Calculated values
VASP energy   -4.075 eV/atom

Lattice parameters (Å, degrees): 4.2281 4.2281 4.8276 90.00 90.00 120.00
Space group P3m1 (No. 156)
Symmetry-distinct sites (fractional):
1 Sr 0.0000 0.0000 0.0000
2 Al 0.6667 0.3333 0.5430
3 Ge 0.3333 0.6667 0.4439
4 H 0.6667 0.3333 0.9069


Material: Hf3AlGe
Method: DFT, PBEsol
State: optimized geometry

Calculated values
Formation enthalpy at 0 K   0.34 eV per atom

Lattice parameters (Å, degrees): 4.861 4.861 4.861 90.00 90.00 90.00
Space group Pm-3m (No. 221)
Symmetry-distinct sites (fractional):
1 Hf 0.000 0.000 0.500
2 Al 0.500 0.500 0.500
3 Ge 0.000 0.000 0.000


Material: HfAl2NiGe
Method: DFT, PBEsol
State: optimized geometry

Calculated values
Formation enthalpy at 0 K   0.87 eV per atom

Lattice parameters (Å, degrees): 4.542 4.542 4.921 90.00 90.00 90.00
Space group P4/mmm (No. 123)
Symmetry-distinct sites (fractional):
1 Hf 0.000 0.000 0.000
2 Al 0.000 0.500 0.500
3 Ni 0.500 0.500 0.000
4 Ge 0.000 0.000 0.500


Material: HoAl2Ge2
Method: DFT, PBEsol
State: optimized geometry

Calculated values
Formation enthalpy at 0 K   -0.43 eV per atom

Lattice parameters (Å, degrees): 4.2238 4.2238 6.4896 90.00 90.00 120.00
Space group P-3m1 (No. 164)
Symmetry-distinct sites (fractional):
1 Ho 0.0000 0.0000 0.0000
2 Al 0.3333 0.6667 0.6471
3 Ge 0.3333 0.6667 0.2538


Material: AlGe3I
Method: DFT, PBEsol
State: optimized geometry

Calculated values
ΔE_f (raw)   0.566 eV/atom

Lattice parameters (Å, degrees): 4.946 4.946 4.946 90.00 90.00 90.00
Space group Pm-3m (No. 221)
Symmetry-distinct sites (fractional):
1 Al 0.000 0.000 0.000
2 Ge 0.000 0.000 0.500
3 I 0.500 0.500 0.500


Material: AlGeI2O
Method: DFT, PBEsol
State: optimized geometry

Calculated values
ΔE_f (raw)   -0.661 eV/atom

Lattice parameters (Å, degrees): 5.654 5.654 3.480 90.00 90.00 90.00
Space group P4/mmm (No. 123)
Symmetry-distinct sites (fractional):
1 Al 0.000 0.000 0.000
2 Ge 0.500 0.500 0.500
3 I 0.000 0.500 0.000
4 O 0.000 0.000 0.500


Material: AlGeSb2I
Method: DFT, PBEsol
State: optimized geometry

Calculated values
ΔE_f (raw)   0.605 eV/atom

Lattice parameters (Å, degrees): 5.244 5.244 5.284 90.00 90.00 90.00
Space group P4/mmm (No. 123)
Symmetry-distinct sites (fractional):
1 Al 0.000 0.000 0.000
2 Ge 0.500 0.500 0.500
3 Sb 0.000 0.500 0.000
4 I 0.000 0.000 0.500


Material: AlGeTeI2
Method: DFT, PBEsol
State: optimized geometry

Calculated values
ΔE_f (raw)   0.238 eV/atom

Lattice parameters (Å, degrees): 5.633 5.633 5.416 90.00 90.00 90.00
Space group P4/mmm (No. 123)
Symmetry-distinct sites (fractional):
1 Al 0.000 0.000 0.000
2 Ge 0.500 0.500 0.500
3 Te 0.500 0.500 0.000
4 I 0.000 0.500 0.500


Material: Al2InGe2
Method: DFT, PBEsol
State: optimized geometry

Calculated values
Formation enthalpy at 0 K   0.07 eV per atom

Lattice parameters (Å, degrees): 4.527 4.527 9.949 90.00 90.00 90.00
Space group I4/mmm (No. 139)
Symmetry-distinct sites (fractional):
1 Al 0.000 0.500 0.250
2 In 0.000 0.000 0.000
3 Ge 0.000 0.000 0.377


Material: AlIn2GeOs
Method: DFT, PBEsol
State: optimized geometry

Calculated values
Formation enthalpy at 0 K   1.08 eV per atom

Lattice parameters (Å, degrees): 5.183 5.183 4.567 90.00 90.00 90.00
Space group P4/mmm (No. 123)
Symmetry-distinct sites (fractional):
1 Al 0.000 0.000 0.000
2 In 0.000 0.500 0.500
3 Ge 0.500 0.500 0.500
4 Os 0.500 0.500 0.000


Material: AlIn2GePb
Method: DFT, PBEsol
State: optimized geometry

Calculated values
Formation enthalpy at 0 K   0.59 eV per atom

Lattice parameters (Å, degrees): 5.193 5.193 5.313 90.00 90.00 90.00
Space group P4/mmm (No. 123)
Symmetry-distinct sites (fractional):
1 Al 0.000 0.000 0.000
2 In 0.000 0.500 0.000
3 Ge 0.500 0.500 0.500
4 Pb 0.000 0.000 0.500


Material: AlInGeS2
Method: DFT, PBEsol
State: optimized geometry

Calculated values
ΔE_f (raw)   0.353 eV/atom

Lattice parameters (Å, degrees): 4.785 4.785 5.143 90.00 90.00 90.00
Space group P4/mmm (No. 123)
Symmetry-distinct sites (fractional):
1 Al 0.000 0.000 0.000
2 In 0.500 0.500 0.000
3 Ge 0.500 0.500 0.500
4 S 0.000 0.500 0.500


Material: AlInSi2Ge
Method: DFT, PBEsol
State: optimized geometry

Calculated values
ΔE_f (raw)   0.705 eV/atom

Lattice parameters (Å, degrees): 4.742 4.742 4.888 90.00 90.00 90.00
Space group P4/mmm (No. 123)
Symmetry-distinct sites (fractional):
1 Al 0.000 0.000 0.000
2 In 0.500 0.500 0.500
3 Si 0.000 0.500 0.000
4 Ge 0.000 0.000 0.500


Material: AlGeIr3
Method: DFT, PBEsol
State: optimized geometry

Calculated values
Formation enthalpy at 0 K   1.17 eV per atom

Lattice parameters (Å, degrees): 4.439 4.439 4.439 90.00 90.00 90.00
Space group Pm-3m (No. 221)
Symmetry-distinct sites (fractional):
1 Al 0.000 0.000 0.000
2 Ge 0.500 0.500 0.500
3 Ir 0.000 0.000 0.500


Material: YAlGeIr2
Method: DFT, PBEsol
State: optimized geometry

Calculated values
Formation enthalpy at 0 K   0.26 eV per atom

Lattice parameters (Å, degrees): 4.594 4.594 4.649 90.00 90.00 90.00
Space group P4/mmm (No. 123)
Symmetry-distinct sites (fractional):
1 Y 0.000 0.000 0.000
2 Al 0.500 0.500 0.000
3 Ge 0.500 0.500 0.500
4 Ir 0.000 0.500 0.500


Material: KAl2GeSe
Method: DFT, PBEsol
State: optimized geometry

Calculated values
ΔE_f (raw)   0.302 eV/atom

Lattice parameters (Å, degrees): 4.822 4.822 5.845 90.00 90.00 90.00
Space group P4/mmm (No. 123)
Symmetry-distinct sites (fractional):
1 K 0.000 0.000 0.000
2 Al 0.000 0.500 0.500
3 Ge 0.000 0.000 0.500
4 Se 0.500 0.500 0.000


Material: La2Al3Ge
Method: DFT, PBEsol
State: optimized geometry

Calculated values
Formation enthalpy at 0 K   -0.57 eV per atom

Lattice parameters (Å, degrees): 4.3578 4.3578 8.6669 90.00 90.00 120.00
Space group P-6m2 (No. 187)
Symmetry-distinct sites (fractional):
1 La 0.0000 0.0000 0.2487
2 Al 0.3333 0.6667 0.0000
3 Al 0.3333 0.6667 0.5000
4 Al 0.6667 0.3333 0.5000
5 Ge 0.6667 0.3333 0.0000


Material: La2AlGe
Method: DFT, PBEsol
State: optimized geometry

Calculated values
Formation enthalpy at 0 K   -0.65 eV per atom

Lattice parameters (Å, degrees): 4.118 4.521 11.511 90.00 90.00 90.00
Space group Amm2 (No. 38)
Symmetry-distinct sites (fractional):
1 La 0.000 0.000 0.000
2 La 0.500 0.000 0.288
3 Al 0.500 0.000 0.579
4 Ge 0.000 0.000 0.716


Material: LaAlGe2O7
Method: DFT, PBEsol
State: optimized geometry

Calculated values
ΔE_f (raw)   -2.472 eV/atom

Lattice parameters (Å, degrees): 7.287 6.567 12.840 90.00 117.46 90.00
Space group P2_1/c (No. 14)
Symmetry-distinct sites (fractional):
1 La 0.238 0.147 0.475
2 Al 0.214 0.104 0.731
3 Ge 0.207 0.657 0.449
4 Ge 0.301 0.592 0.719
5 O 0.003 0.663 0.913
6 O 0.162 0.679 0.187
7 O 0.200 0.052 0.864
8 O 0.225 0.115 0.277
9 O 0.245 0.504 0.572
10 O 0.405 0.678 0.974
11 O 0.430 0.124 0.700


Material: LaAlGePt2
Method: DFT, PBEsol
State: optimized geometry

Calculated values
Formation enthalpy at 0 K   0.22 eV per atom

Lattice parameters (Å, degrees): 4.673 4.673 5.463 90.00 90.00 90.00
Space group P4/mmm (No. 123)
Symmetry-distinct sites (fractional):
1 La 0.000 0.000 0.000
2 Al 0.500 0.500 0.000
3 Ge 0.000 0.000 0.500
4 Pt 0.000 0.500 0.500